Entry 1:
DFT (PBE) results for a relaxed structure of Cr2SiSbN.

As for the total energy: -7.011 eV per atom. As for the uncorrected formation energy: 39.8 kJ per mole of atoms. The calculation puts the total magnetic moment at 5.99 μB/f.u. The calculation puts the calculated volume at 15.78 A^3/atom.

Cell: 3.954 5.047 3.954 Å, 90.00 90.00 90.00°
Each line ends with the local moment (μB).
Fractional positions:
1 N 0.000 0.000 0.000  -0.17
2 Si 0.500 0.500 0.500  -0.01
3 Cr 0.000 0.000 0.500  3.03
4 Cr 0.500 0.000 0.000  2.68
5 Sb 0.000 0.500 0.000  -0.03

Entry 2:
DFT (PBE) results for a relaxed structure of Sr2CrSbN.

As for the total energy: -5.285 eV per atom. As for the uncorrected formation energy: -19.1 kJ per mole of atoms. The calculation puts the total magnetic moment at 2.84 μB/f.u. The calculation puts the calculated volume at 27.49 A^3/atom.

Cell: 6.127 3.662 6.127 Å, 90.00 90.00 90.00°
Each line ends with the local moment (μB).
Fractional positions:
1 Sr 0.000 0.000 0.500  0.01
2 Sr 0.500 0.000 0.000  0.03
3 Cr 0.000 0.000 0.000  2.67
4 N 0.000 0.500 0.000  -0.22
5 Sb 0.500 0.500 0.500  0.01

Entry 3:
DFT (PBE) results for a relaxed structure of TaCrSbN2.

As for the total energy: -7.934 eV per atom. As for the uncorrected formation energy: 49.8 kJ per mole of atoms. The calculation puts the total magnetic moment at 2.73 μB/f.u. The calculation puts the calculated volume at 18.82 A^3/atom.

Cell: 4.001 5.880 4.001 Å, 90.00 90.00 90.00°
Each line ends with the local moment (μB).
Fractional positions:
1 Sb 0.000 0.500 0.000  0.20
2 Cr 0.500 0.500 0.500  -3.58
3 N 0.500 0.000 0.000  0.24
4 N 0.000 0.000 0.500  0.39
5 Ta 0.000 0.000 0.000  -0.06

Entry 4:
DFT (PBE) results for a relaxed structure of Cr2TcSbN.

As for the total energy: -8.474 eV per atom. As for the uncorrected formation energy: -6.0 kJ per mole of atoms. The calculation puts the total magnetic moment at 2.55 μB/f.u. The calculation puts the calculated volume at 12.95 A^3/atom.

Cell: 3.949 3.949 4.150 Å, 90.00 90.00 90.00°
Each line ends with the local moment (μB).
Fractional positions:
1 Tc 0.000 0.000 0.500  -0.03
2 Cr 0.500 0.000 0.000  1.32
3 Cr 0.000 0.500 0.000  1.32
4 N 0.000 0.000 0.000  -0.09
5 Sb 0.500 0.500 0.500  -0.07

Entry 5:
DFT (PBE) results for a relaxed structure of CrSbTeN2.

As for the total energy: -5.870 eV per atom. As for the uncorrected formation energy: 80.8 kJ per mole of atoms. The calculation puts the total magnetic moment at 0.81 μB/f.u. Its energy relative to the lowest polymorph listed for this composition is 0 meV per atom. The calculation puts the calculated volume at 17.73 A^3/atom.

Cell: 4.004 4.004 5.530 Å, 90.00 90.00 90.00°
Each line ends with the local moment (μB).
Fractional positions:
1 Sb 0.500 0.500 0.500  0.25
2 N 0.000 0.500 0.000  -0.70
3 N 0.500 0.000 0.000  -0.70
4 Cr 0.000 0.000 0.000  2.12
5 Te 0.000 0.000 0.500  -0.06

Entry 6:
DFT (PBE) results for a relaxed structure of CrSbTe2N.

As for the total energy: -4.228 eV per atom. As for the uncorrected formation energy: 139.2 kJ per mole of atoms. The calculation puts the total magnetic moment at 0.00 μB/f.u. Its energy relative to the lowest polymorph listed for this composition is 1237 meV per atom. The calculation puts the calculated volume at 24.02 A^3/atom.

Cell: 4.910 4.910 4.981 Å, 90.00 90.00 90.00°
Fractional positions:
1 Sb 0.000 0.000 0.500
2 N 0.500 0.500 0.500
3 Te 0.000 0.500 0.000
4 Te 0.500 0.000 0.000
5 Cr 0.000 0.000 0.000